Record 1
# Y2CoTe

A relaxed structure of Y2CoTe (PBE, Alexandria via LeMat-Bulk).

abc: 5.0550 5.0550 5.0550
angles: 60.00 60.00 60.00
With the nearest neighbours (Å) after each atom.
Atoms (fractional coordinates):
Co (0.5000, 0.5000, 0.5000)  4 Y 3.10, 4 Te 3.10
Te (0.7500, 0.7500, 0.7500)  4 Co 3.10, 4 Y 3.10
Y (0.0000, 0.0000, 0.0000)  4 Te 3.10, 4 Y 3.10
Y (0.2500, 0.2500, 0.2500)  4 Y 3.10, 4 Co 3.10

## Properties
spin magnetization: 0.30 μB/atom
formation energy without anion corrections: 0.111 eV/atom
symmetry: No. 216

Record 2
# YCoTe2

A relaxed structure of YCoTe2 (PBE, Alexandria via LeMat-Bulk).

abc: 3.9776 4.0513 7.2904
angles: 73.88 90.00 90.00
With the nearest neighbours (Å) after each atom.
Atoms (fractional coordinates):
Co (0.5000, 0.9625, 0.7000)  3 Te 2.46-2.50
Te (0.0000, 0.8594, 0.9064)  2 Co 2.46
Te (0.5000, 0.1411, 0.3428)  1 Co 2.50
Y (0.0000, 0.5370, 0.5509)  4 Co 3.02, 6 Te 3.19-3.21

## Properties
spin magnetization: 0.26 μB/atom
formation energy without anion corrections: -0.639 eV/atom
symmetry: No. 38

Record 3
# Y2CoTe

A relaxed structure of Y2CoTe (PBE, Alexandria via LeMat-Bulk).

abc: 5.3460 5.3460 5.3460
angles: 133.01 118.19 81.11
With the nearest neighbours (Å) after each atom.
Atoms (fractional coordinates):
Co (0.7500, 0.2500, 0.5000)  4 Y 2.79
Te (0.2500, 0.7500, 0.5000)  8 Y 3.11-3.29, 4 Co 3.48
Y (0.9721, 0.9721, 0.0000)  2 Co 2.79, 2 Te 3.11
Y (0.5279, 0.5279, 0.0000)  2 Co 2.79, 2 Te 3.11

## Properties
spin magnetization: 0.13 μB/atom
formation energy without anion corrections: -0.346 eV/atom
symmetry: No. 71

Record 4
# Y3CoTe

A relaxed structure of Y3CoTe (PBE, Alexandria via LeMat-Bulk).

abc: 5.1849 5.1849 5.1849
angles: 90.00 90.00 90.00
With the nearest neighbours (Å) after each atom.
Atoms (fractional coordinates):
Y (0.0000, 0.5000, 0.0000)  2 Co 2.59
Y (0.0000, 0.0000, 0.5000)  2 Co 2.59
Y (0.5000, 0.0000, 0.0000)  2 Co 2.59
Te (0.5000, 0.5000, 0.5000)  12 Y 3.67
Co (0.0000, 0.0000, 0.0000)  6 Y 2.59

## Properties
spin magnetization: 0.00 μB/atom
formation energy without anion corrections: -0.400 eV/atom
symmetry: No. 221

Record 5
# Y12Co6Te

A relaxed structure of Y12Co6Te (PBE, Alexandria via LeMat-Bulk).

abc: 8.4397 8.4397 8.4397
angles: 109.47 109.47 109.47
With the nearest neighbours (Å) after each atom.
Atoms (fractional coordinates):
Y (0.3065, 0.1088, 0.8023)  3 Co 2.65-2.91
Y (0.3065, 0.5041, 0.1977)  3 Co 2.65-2.91
Y (0.6935, 0.4959, 0.8023)  3 Co 2.65-2.91
Y (0.6935, 0.8912, 0.1977)  3 Co 2.65-2.91
Y (0.1088, 0.8023, 0.3065)  3 Co 2.65-2.91
Y (0.5041, 0.1977, 0.3065)  3 Co 2.65-2.91
Y (0.4959, 0.8023, 0.6935)  3 Co 2.65-2.91
Y (0.8912, 0.1977, 0.6935)  3 Co 2.65-2.91
Y (0.8023, 0.3065, 0.1088)  3 Co 2.65-2.91
Y (0.1977, 0.3065, 0.5041)  3 Co 2.65-2.91
Y (0.8023, 0.6935, 0.4959)  3 Co 2.65-2.91
Y (0.1977, 0.6935, 0.8912)  3 Co 2.65-2.91
Co (0.3882, 0.5000, 0.8882)  1 Co 2.18
Co (0.6118, 0.5000, 0.1118)  1 Co 2.18
Co (0.5000, 0.8882, 0.3882)  1 Co 2.18
Co (0.5000, 0.1118, 0.6118)  1 Co 2.18
Co (0.8882, 0.3882, 0.5000)  1 Co 2.18
Co (0.1118, 0.6118, 0.5000)  1 Co 2.18
Te (0.0000, 0.0000, 0.0000)  12 Y 3.55

## Properties
spin magnetization: 0.00 μB/atom
formation energy without anion corrections: -0.304 eV/atom
symmetry: No. 204

Record 6
# YCoTe2

A relaxed structure of YCoTe2 (PBE, Alexandria via LeMat-Bulk).

abc: 3.7052 3.7052 6.9093
angles: 90.00 90.00 90.00
With the nearest neighbours (Å) after each atom.
Atoms (fractional coordinates):
Co (0.5000, 0.5000, 0.7500)  8 Te 3.09, 2 Y 3.45
Te (0.0000, 0.0000, 0.9865)  4 Co 3.09, 4 Y 3.19, 1 Te 3.27
Te (0.0000, 0.0000, 0.5135)  4 Co 3.09, 4 Y 3.19, 1 Te 3.27
Y (0.5000, 0.5000, 0.2500)  8 Te 3.19, 2 Co 3.45

## Properties
spin magnetization: 0.54 μB/atom
formation energy without anion corrections: -0.217 eV/atom
symmetry: No. 123

Record 7
# YCo2Te

A relaxed structure of YCo2Te (PBE, Alexandria via LeMat-Bulk).

abc: 5.2740 5.2740 3.9666
angles: 68.68 68.68 112.03
With the nearest neighbours (Å) after each atom.
Atoms (fractional coordinates):
Co (0.0000, 0.0000, 0.0000)  2 Te 2.66, 2 Y 2.66, 2 Co 2.95
Co (0.5000, 0.5000, 0.0000)  2 Y 2.66, 2 Te 2.66, 2 Co 2.95
Te (0.5000, 0.0000, 0.5000)  4 Co 2.66, 2 Y 2.95
Y (0.0000, 0.5000, 0.5000)  4 Co 2.66, 2 Te 2.95

## Properties
spin magnetization: 0.36 μB/atom
formation energy without anion corrections: 0.217 eV/atom
symmetry: No. 12

Record 8
# YCoTe2

A relaxed structure of YCoTe2 (PBE, Alexandria via LeMat-Bulk).

abc: 7.5672 7.5672 6.3036
angles: 53.11 53.11 90.00
With the nearest neighbours (Å) after each atom.
Atoms (fractional coordinates):
Y (0.0000, 0.0000, 0.0000)  8 Te 3.22-3.40, 2 Co 3.33
Y (0.7500, 0.2500, 0.5000)  8 Te 3.22-3.40, 2 Co 3.33
Te (0.5491, 0.1250, 0.2500)  2 Co 2.45
Te (0.2009, 0.6250, 0.2500)  2 Co 2.45
Te (0.3750, 0.4509, 0.7500)  2 Co 2.45
Te (0.8750, 0.7991, 0.7500)  2 Co 2.45
Co (0.5000, 0.5000, 0.0000)  4 Te 2.45
Co (0.2500, 0.7500, 0.5000)  4 Te 2.45

## Properties
spin magnetization: 0.00 μB/atom
formation energy without anion corrections: -0.571 eV/atom
symmetry: No. 122

Record 9
# YCo2Te

A relaxed structure of YCo2Te (PBE, Alexandria via LeMat-Bulk).

abc: 4.5068 4.5068 9.0366
angles: 75.56 75.56 90.00
With the nearest neighbours (Å) after each atom.
Atoms (fractional coordinates):
Y (0.5000, 0.5000, 0.0000)  4 Co 3.07, 4 Te 3.19
Y (0.2500, 0.7500, 0.5000)  4 Co 3.07, 4 Te 3.19
Te (0.0000, 0.0000, 0.0000)  4 Co 2.42
Te (0.7500, 0.2500, 0.5000)  4 Co 2.42
Co (0.7994, 0.1250, 0.2500)  2 Co 2.35, 2 Te 2.42
Co (0.9506, 0.6250, 0.2500)  2 Co 2.35, 2 Te 2.42
Co (0.3750, 0.2006, 0.7500)  2 Co 2.35, 2 Te 2.42
Co (0.8750, 0.0494, 0.7500)  2 Co 2.35, 2 Te 2.42

## Properties
spin magnetization: 0.44 μB/atom
formation energy without anion corrections: 0.031 eV/atom
symmetry: No. 122

Record 10
# Y2CoTe

A relaxed structure of Y2CoTe (PBE, Alexandria via LeMat-Bulk).

abc: 6.0728 6.0728 6.0728
angles: 139.75 139.75 58.23
With the nearest neighbours (Å) after each atom.
Atoms (fractional coordinates):
Co (0.5000, 0.5000, 0.0000)  4 Y 2.95
Te (0.7500, 0.2500, 0.5000)  4 Y 2.95
Y (0.0000, 0.0000, 0.0000)  4 Co 2.95
Y (0.2500, 0.7500, 0.5000)  4 Te 2.95

## Properties
spin magnetization: 0.00 μB/atom
formation energy without anion corrections: -0.353 eV/atom
symmetry: No. 119

Record 11
# YCo2Te

A relaxed structure of YCo2Te (PBE, Alexandria via LeMat-Bulk).

abc: 4.1960 4.4222 4.5451
angles: 65.30 90.00 90.00
With the nearest neighbours (Å) after each atom.
Atoms (fractional coordinates):
Co (0.0000, 0.0870, 0.0636)  2 Co 2.28
Co (0.5000, 0.1827, 0.2014)  2 Co 2.28
Te (0.0000, 0.4289, 0.4245)  5 Co 2.66-2.75
Y (0.5000, 0.8014, 0.8105)  2 Co 2.57

## Properties
spin magnetization: 0.44 μB/atom
formation energy without anion corrections: -0.183 eV/atom
symmetry: No. 6

Record 12
# Y3CoTe

A relaxed structure of Y3CoTe (PBE, Alexandria via LeMat-Bulk).

abc: 3.9386 8.4710 8.1469
angles: 106.40 90.00 90.00
With the nearest neighbours (Å) after each atom.
Atoms (fractional coordinates):
Y (0.2500, 0.5937, 0.3109)  3 Co 2.83-2.94
Y (0.7500, 0.4063, 0.6891)  3 Co 2.83-2.94
Y (0.2500, 0.0690, 0.6951)  1 Co 3.10, 3 Te 3.18-3.26
Y (0.7500, 0.2467, 0.0648)  3 Co 2.81-2.82
Y (0.7500, 0.9310, 0.3049)  1 Co 3.10, 3 Te 3.18-3.26
Y (0.2500, 0.7533, 0.9352)  3 Co 2.81-2.82
Co (0.7500, 0.5778, 0.0574)  2 Co 2.41
Co (0.2500, 0.4222, 0.9426)  2 Co 2.41
Te (0.7500, 0.7615, 0.6173)  8 Y 3.18-3.27
Te (0.2500, 0.2385, 0.3827)  8 Y 3.18-3.27

## Properties
spin magnetization: 0.00 μB/atom
formation energy without anion corrections: -0.651 eV/atom
symmetry: No. 11

Record 13
# Y2CoTe

A relaxed structure of Y2CoTe (PBE, Alexandria via LeMat-Bulk).

abc: 4.0280 4.0280 7.6071
angles: 74.68 74.68 59.98
With the nearest neighbours (Å) after each atom.
Atoms (fractional coordinates):
Co (0.7500, 0.7500, 0.7500)  6 Y 2.77
Te (0.2500, 0.2500, 0.2500)  6 Y 3.15
Y (0.0142, 0.0142, 0.9571)  3 Co 2.77
Y (0.4858, 0.4858, 0.5429)  3 Co 2.77

## Properties
spin magnetization: 0.00 μB/atom
formation energy without anion corrections: -0.609 eV/atom
symmetry: No. 166

Record 14
# YCoTe2

A relaxed structure of YCoTe2 (PBE, Alexandria via LeMat-Bulk).

abc: 4.0746 4.0746 6.2877
angles: 90.00 90.00 90.00
With the nearest neighbours (Å) after each atom.
Atoms (fractional coordinates):
Co (0.5000, 0.5000, 0.7806)  5 Te 2.74-3.00
Te (0.0000, 0.0000, 0.9153)  1 Y 2.87, 4 Co 3.00
Te (0.5000, 0.5000, 0.3454)  1 Co 2.74, 4 Y 2.97
Y (0.0000, 0.0000, 0.4587)  5 Te 2.87-2.97

## Properties
spin magnetization: 0.49 μB/atom
formation energy without anion corrections: -0.510 eV/atom
symmetry: No. 99

Number 1: density of states at the Fermi level 3.52 states/eV per cell. Number 2: density of states at the Fermi level 4.03 states/eV per cell. Number 3: density of states at the Fermi level 4.51 states/eV per cell. Number 4: density of states at the Fermi level 5.15 states/eV per cell. Number 5: density of states at the Fermi level 12.13 states/eV per cell. Number 6: density of states at the Fermi level 5.04 states/eV per cell. Number 7: density of states at the Fermi level 6.57 states/eV per cell. Number 8: density of states at the Fermi level 6.50 states/eV per cell. Number 9: density of states at the Fermi level 11.02 states/eV per cell. Number 10: density of states at the Fermi level 3.42 states/eV per cell. Number 11: density of states at the Fermi level 3.07 states/eV per cell. Number 12: density of states at the Fermi level 8.24 states/eV per cell. Number 13: density of states at the Fermi level 2.75 states/eV per cell. Number 14: density of states at the Fermi level 1.28 states/eV per cell.